Record 1
Material: KTbNiS3
Method: DFT, PBE-GGA
State: relaxed

Output
DFT total energy, eV/f.u.: -31.516
ρ, g/cm³: 3.88
V, Å³/atom: 25.2
Space-group type: P2_1/m (11)

a b c (Å): 8.7039 3.9285 9.2155
angles (deg): 90.00 106.65 90.00
Closest atoms and distances in Å follow each position.
Sites, in units of the cell vectors:
K (0.1987, 0.2500, 0.2301)  7 S 3.17-3.49
K (0.8013, 0.7500, 0.7699)  7 S 3.17-3.49
Tb (0.3297, 0.7500, 0.8554)  6 S 2.71-2.85
Tb (0.6703, 0.2500, 0.1446)  6 S 2.71-2.85
Ni (0.0783, 0.2500, 0.5928)  4 S 2.21-2.29
Ni (0.9217, 0.7500, 0.4072)  4 S 2.21-2.29
S (0.1090, 0.2500, 0.8480)  1 Ni 2.29
S (0.1790, 0.7500, 0.5367)  3 Ni 2.21-2.27
S (0.4553, 0.7500, 0.1610)  3 Tb 2.71-2.75
S (0.5447, 0.2500, 0.8390)  3 Tb 2.71-2.75
S (0.8210, 0.2500, 0.4633)  3 Ni 2.21-2.27
S (0.8910, 0.7500, 0.1520)  1 Ni 2.29


Record 2
Material: KTbNiS4
Method: DFT, PBE-GGA
State: relaxed

Output
DFT total energy, eV/f.u.: -34.750
ρ, g/cm³: 4.02
V, Å³/atom: 22.7
Space-group type: P2_1 (4)

a b c (Å): 6.5977 5.6086 8.9672
angles (deg): 90.00 106.78 90.00
Closest atoms and distances in Å follow each position.
Sites, in units of the cell vectors:
K (0.2412, 0.0000, 0.4484)  7 S 3.09-3.42
K (0.7588, 0.5000, 0.5516)  7 S 3.09-3.42
Tb (0.2411, 0.9953, 0.9440)  8 S 2.71-2.94
Tb (0.7589, 0.4953, 0.0560)  8 S 2.71-2.94
Ni (0.2758, 0.4993, 0.1824)  4 S 2.16-2.18
Ni (0.7242, 0.9993, 0.8176)  4 S 2.16-2.18
S (0.0690, 0.5002, 0.3307)  1 Ni 2.16
S (0.1063, 0.4957, 0.9355)  1 Ni 2.17
S (0.4789, 0.2686, 0.7850)  1 Ni 2.17
S (0.4834, 0.7233, 0.7861)  1 Ni 2.18
S (0.5166, 0.2233, 0.2139)  1 Ni 2.18
S (0.5211, 0.7686, 0.2150)  1 Ni 2.17
S (0.8937, 0.9957, 0.0645)  1 Ni 2.17
S (0.9310, 0.0002, 0.6693)  1 Ni 2.16


Record 3
Material: KTmNiS3
Method: DFT, PBE-GGA
State: relaxed

Output
DFT total energy, eV/f.u.: -31.406
ρ, g/cm³: 4.10
V, Å³/atom: 24.5
Space-group type: P2_1/m (11)

a b c (Å): 8.6072 3.8791 9.2619
angles (deg): 90.00 108.02 90.00
Closest atoms and distances in Å follow each position.
Sites, in units of the cell vectors:
K (0.2032, 0.2500, 0.2343)  7 S 3.17-3.50
K (0.7968, 0.7500, 0.7657)  7 S 3.17-3.50
Tm (0.3294, 0.7500, 0.8580)  6 S 2.66-2.80
Tm (0.6706, 0.2500, 0.1420)  6 S 2.66-2.80
Ni (0.0785, 0.2500, 0.5947)  4 S 2.22-2.28
Ni (0.9215, 0.7500, 0.4053)  4 S 2.22-2.28
S (0.1112, 0.2500, 0.8485)  1 Ni 2.28
S (0.1838, 0.7500, 0.5424)  3 Ni 2.22-2.26
S (0.4587, 0.7500, 0.1582)  3 Tm 2.66-2.70
S (0.5413, 0.2500, 0.8418)  3 Tm 2.66-2.70
S (0.8162, 0.2500, 0.4576)  3 Ni 2.22-2.26
S (0.8888, 0.7500, 0.1515)  1 Ni 2.28


Record 4
Material: KTmNiS3
Method: DFT, PBE-GGA
State: relaxed

Output
DFT total energy, eV/f.u.: -30.402
ρ, g/cm³: 4.67
V, Å³/atom: 21.5
Space-group type: C2/m (12)

a b c (Å): 8.1566 8.1566 8.3474
angles (deg): 102.08 102.08 28.39
Closest atoms and distances in Å follow each position.
Sites, in units of the cell vectors:
K (0.1468, 0.1468, 0.0703)  7 S 3.02-3.24
K (0.8532, 0.8532, 0.9297)  7 S 3.02-3.24
Tm (0.1662, 0.1662, 0.5861)  6 S 2.57-2.73
Tm (0.8338, 0.8338, 0.4139)  6 S 2.57-2.73
Ni (0.4984, 0.4984, 0.7166)  3 S 2.28-2.43
Ni (0.5016, 0.5016, 0.2834)  3 S 2.28-2.43
S (0.0000, 0.0000, 0.5000)  2 Tm 2.57, 4 Ni 2.70
S (0.3415, 0.3415, 0.6397)  1 Ni 2.43, 1 Tm 2.71
S (0.3543, 0.3543, 0.2141)  1 Ni 2.28
S (0.5000, 0.5000, 0.0000)  2 Ni 2.36
S (0.6457, 0.6457, 0.7859)  1 Ni 2.28
S (0.6585, 0.6585, 0.3603)  1 Ni 2.43, 1 Tm 2.71


Record 5
Material: KYNiS3
Method: DFT, PBE-GGA
State: relaxed

Output
DFT total energy, eV/f.u.: -33.372
ρ, g/cm³: 3.13
V, Å³/atom: 25.0
Space-group type: P2_1/m (11)

a b c (Å): 8.6698 3.9147 9.2399
angles (deg): 90.00 106.95 90.00
Closest atoms and distances in Å follow each position.
Sites, in units of the cell vectors:
K (0.2018, 0.2500, 0.2328)  7 S 3.16-3.48
K (0.7982, 0.7500, 0.7672)  7 S 3.16-3.48
Y (0.3287, 0.7500, 0.8565)  6 S 2.71-2.84
Y (0.6713, 0.2500, 0.1435)  6 S 2.71-2.84
Ni (0.0780, 0.2500, 0.5932)  4 S 2.22-2.29
Ni (0.9220, 0.7500, 0.4068)  4 S 2.22-2.29
S (0.1075, 0.2500, 0.8473)  1 Ni 2.29
S (0.1806, 0.7500, 0.5384)  3 Ni 2.22-2.27
S (0.4567, 0.7500, 0.1609)  3 Y 2.71-2.74
S (0.5433, 0.2500, 0.8391)  3 Y 2.71-2.74
S (0.8194, 0.2500, 0.4616)  3 Ni 2.22-2.27
S (0.8925, 0.7500, 0.1527)  1 Ni 2.29


Record 6
Material: KYNiS3
Method: DFT, PBE-GGA
State: relaxed

Output
DFT total energy, eV/f.u.: -32.306
ρ, g/cm³: 3.55
V, Å³/atom: 22.0
Space-group type: C2/m (12)

a b c (Å): 8.1776 8.1776 8.4051
angles (deg): 102.31 102.31 28.84
Closest atoms and distances in Å follow each position.
Sites, in units of the cell vectors:
K (0.1488, 0.1488, 0.0782)  7 S 3.07-3.23
K (0.8512, 0.8512, 0.9218)  7 S 3.07-3.23
Y (0.1660, 0.1660, 0.5865)  6 S 2.57-2.77
Y (0.8340, 0.8340, 0.4135)  6 S 2.57-2.77
Ni (0.4943, 0.4943, 0.7259)  3 S 2.29-2.36
Ni (0.5057, 0.5057, 0.2741)  3 S 2.29-2.36
S (0.0000, 0.0000, 0.5000)  2 Y 2.57, 4 Ni 2.80
S (0.3421, 0.3421, 0.6399)  1 Ni 2.36
S (0.3568, 0.3568, 0.2062)  1 Ni 2.30
S (0.5000, 0.5000, 0.0000)  2 Ni 2.29
S (0.6432, 0.6432, 0.7938)  1 Ni 2.30
S (0.6579, 0.6579, 0.3601)  1 Ni 2.36


Record 7
Material: KNiSbSe3
Method: DFT, PBE-GGA
State: relaxed

Output
DFT total energy, eV/f.u.: -23.866
ρ, g/cm³: 4.66
V, Å³/atom: 27.1
Space-group type: Cmcm (63)

a b c (Å): 7.4199 7.4199 11.0444
angles (deg): 90.00 90.00 147.63
Closest atoms and distances in Å follow each position.
Sites, in units of the cell vectors:
K (0.2426, 0.7574, 0.7500)  6 Se 3.42-3.43, 2 Ni 3.76
K (0.7574, 0.2426, 0.2500)  6 Se 3.42-3.43, 2 Ni 3.76
Ni (0.0371, 0.9629, 0.2500)  4 Se 2.41-2.42
Ni (0.9629, 0.0371, 0.7500)  4 Se 2.41-2.42
Sb (0.5000, 0.5000, 0.0000)  6 Se 2.85-2.87
Sb (0.5000, 0.5000, 0.5000)  6 Se 2.85-2.87
Se (0.1293, 0.8707, 0.0665)  1 Ni 2.42
Se (0.1293, 0.8707, 0.4335)  1 Ni 2.42
Se (0.4498, 0.5502, 0.2500)  2 Ni 2.41
Se (0.5502, 0.4498, 0.7500)  2 Ni 2.41
Se (0.8707, 0.1293, 0.5665)  1 Ni 2.42
Se (0.8707, 0.1293, 0.9335)  1 Ni 2.42


Record 8
Material: K2Ni3Se4
Method: DFT, PBE-GGA
State: relaxed

Output
DFT total energy, eV/f.u.: -38.553
ρ, g/cm³: 4.50
V, Å³/atom: 23.4
Space-group type: Fddd (70)

a b c (Å): 14.2693 13.6047 6.0586
angles (deg): 83.67 71.37 24.96
Closest atoms and distances in Å follow each position.
Sites, in units of the cell vectors:
K (0.0502, 0.0502, 0.1998)  8 Se 3.49-3.54, 6 Ni 3.61-3.63
K (0.1998, 0.1998, 0.0502)  8 Se 3.49-3.54, 6 Ni 3.61-3.63
K (0.8002, 0.8002, 0.9498)  8 Se 3.49-3.54, 6 Ni 3.61-3.63
K (0.9498, 0.9498, 0.8002)  8 Se 3.49-3.54, 6 Ni 3.61-3.63
Ni (0.1258, 0.1258, 0.6242)  4 Se 2.33-2.34
Ni (0.3750, 0.3750, 0.3750)  4 Se 2.34
Ni (0.3758, 0.3758, 0.8742)  4 Se 2.33-2.34
Ni (0.6242, 0.6242, 0.1258)  4 Se 2.33-2.34
Ni (0.6250, 0.6250, 0.6250)  4 Se 2.34
Ni (0.8742, 0.8742, 0.3758)  4 Se 2.33-2.34
Se (0.1546, 0.4783, 0.2624)  3 Ni 2.33-2.34
Se (0.2624, 0.6047, 0.1546)  3 Ni 2.33-2.34
Se (0.3953, 0.7376, 0.5217)  3 Ni 2.33-2.34
Se (0.4783, 0.1546, 0.6047)  3 Ni 2.33-2.34
Se (0.5217, 0.8454, 0.3953)  3 Ni 2.33-2.34
Se (0.6047, 0.2624, 0.4783)  3 Ni 2.33-2.34
Se (0.7376, 0.3953, 0.8454)  3 Ni 2.33-2.34
Se (0.8454, 0.5217, 0.7376)  3 Ni 2.33-2.34


Record 9
Material: K2Ni2Se5
Method: DFT, PBE-GGA
State: relaxed

Output
DFT total energy, eV/f.u.: -35.415
ρ, g/cm³: 4.35
V, Å³/atom: 25.1
Space-group type: C2/c (15)

a b c (Å): 6.7084 6.7084 10.9495
angles (deg): 105.30 105.30 76.30
Closest atoms and distances in Å follow each position.
Sites, in units of the cell vectors:
K (0.0617, 0.4166, 0.3180)  7 Se 3.26-3.53, 1 Ni 3.54
K (0.4166, 0.0617, 0.8180)  7 Se 3.26-3.53, 1 Ni 3.54
K (0.5834, 0.9383, 0.1820)  7 Se 3.26-3.53, 1 Ni 3.54
K (0.9383, 0.5834, 0.6820)  7 Se 3.26-3.53, 1 Ni 3.54
Ni (0.2450, 0.5652, 0.0540)  5 Se 2.31-2.45
Ni (0.4348, 0.7550, 0.4460)  5 Se 2.31-2.45
Ni (0.5652, 0.2450, 0.5540)  5 Se 2.31-2.45
Ni (0.7550, 0.4348, 0.9460)  5 Se 2.31-2.45
Se (0.0929, 0.2624, 0.0126)  2 Ni 2.31-2.37
Se (0.1798, 0.8202, 0.2500)  2 Ni 2.43
Se (0.2624, 0.0929, 0.5126)  2 Ni 2.31-2.37
Se (0.4034, 0.5911, 0.6141)  2 Ni 2.32-2.45
Se (0.4089, 0.5966, 0.8859)  2 Ni 2.32-2.45
Se (0.5911, 0.4034, 0.1141)  2 Ni 2.32-2.45
Se (0.5966, 0.4089, 0.3859)  2 Ni 2.32-2.45
Se (0.7376, 0.9071, 0.4874)  2 Ni 2.31-2.37
Se (0.8202, 0.1798, 0.7500)  2 Ni 2.43
Se (0.9071, 0.7376, 0.9874)  2 Ni 2.31-2.37


Record 10
Material: KSmNiSe3
Method: DFT, PBE-GGA
State: relaxed

Output
DFT total energy, eV/f.u.: -27.943
ρ, g/cm³: 5.23
V, Å³/atom: 25.7
Space-group type: C2/m (12)

a b c (Å): 8.6528 8.6528 8.7562
angles (deg): 102.31 102.31 28.81
Closest atoms and distances in Å follow each position.
Sites, in units of the cell vectors:
K (0.1417, 0.1417, 0.0744)  7 Se 3.17-3.48
K (0.8583, 0.8583, 0.9256)  7 Se 3.17-3.48
Sm (0.1698, 0.1698, 0.5957)  6 Se 2.78-2.97
Sm (0.8302, 0.8302, 0.4043)  6 Se 2.78-2.97
Ni (0.5002, 0.5002, 0.2992)  3 Se 2.41-2.62
Ni (0.4998, 0.4998, 0.7008)  3 Se 2.41-2.62
Se (0.0000, 0.0000, 0.5000)  4 Ni 2.78, 2 Sm 2.78
Se (0.3473, 0.3473, 0.6424)  1 Ni 2.49
Se (0.3538, 0.3538, 0.2004)  1 Ni 2.41
Se (0.5000, 0.5000, 0.0000)  2 Ni 2.62
Se (0.6462, 0.6462, 0.7996)  1 Ni 2.41
Se (0.6527, 0.6527, 0.3576)  1 Ni 2.49


Record 11
Material: KSmNiSe4
Method: DFT, PBE-GGA
State: relaxed

Output
DFT total energy, eV/f.u.: -31.969
ρ, g/cm³: 5.16
V, Å³/atom: 25.9
Space-group type: P2_1 (4)

a b c (Å): 6.5913 6.1293 9.5079
angles (deg): 90.00 109.04 90.00
Closest atoms and distances in Å follow each position.
Sites, in units of the cell vectors:
K (0.2407, 0.0000, 0.4378)  8 Se 3.26-3.54
K (0.7593, 0.5000, 0.5622)  8 Se 3.26-3.54
Sm (0.2557, 0.9972, 0.9511)  8 Se 2.98-3.20, 1 Ni 3.28
Sm (0.7443, 0.4972, 0.0489)  8 Se 2.98-3.20, 1 Ni 3.28
Ni (0.2710, 0.4937, 0.1815)  4 Se 2.26-2.31
Ni (0.7290, 0.9937, 0.8185)  4 Se 2.26-2.31
Se (0.0875, 0.4999, 0.3447)  1 Ni 2.26
Se (0.1144, 0.4955, 0.9282)  1 Ni 2.29
Se (0.4617, 0.7329, 0.7720)  1 Ni 2.31
Se (0.4653, 0.2585, 0.7732)  1 Ni 2.31
Se (0.5347, 0.7585, 0.2268)  1 Ni 2.31
Se (0.5383, 0.2329, 0.2280)  1 Ni 2.31
Se (0.8856, 0.9955, 0.0718)  1 Ni 2.29
Se (0.9125, 0.9999, 0.6553)  1 Ni 2.26


Record 12
Material: KTbNiSe3
Method: DFT, PBE-GGA
State: relaxed

Output
DFT total energy, eV/f.u.: -27.952
ρ, g/cm³: 5.45
V, Å³/atom: 25.1
Space-group type: C2/m (12)

a b c (Å): 8.5671 8.5671 8.7449
angles (deg): 101.61 101.61 28.62
Closest atoms and distances in Å follow each position.
Sites, in units of the cell vectors:
K (0.1440, 0.1440, 0.0747)  7 Se 3.16-3.43
K (0.8560, 0.8560, 0.9253)  7 Se 3.16-3.43
Tb (0.1683, 0.1683, 0.5915)  6 Se 2.74-2.91
Tb (0.8317, 0.8317, 0.4085)  6 Se 2.74-2.91
Ni (0.4992, 0.4992, 0.7044)  3 Se 2.40-2.58
Ni (0.5008, 0.5008, 0.2956)  3 Se 2.40-2.58
Se (0.0000, 0.0000, 0.5000)  2 Tb 2.74, 4 Ni 2.77
Se (0.3445, 0.3445, 0.6411)  1 Ni 2.51
Se (0.3538, 0.3538, 0.2051)  1 Ni 2.40
Se (0.5000, 0.5000, 0.0000)  2 Ni 2.58
Se (0.6462, 0.6462, 0.7949)  1 Ni 2.40
Se (0.6555, 0.6555, 0.3589)  1 Ni 2.51